DFT (PBE) results for a relaxed CuTe2Rh crystal.

Unit cell a=4.769 b=4.474 c=4.474 alpha=67.58 beta=90.00 gamma=90.00
Fractional positions:
Cu1 0.000 0.000 0.000
Te1 0.000 0.357 0.357
Te2 0.500 0.831 0.831
Rh1 0.500 0.189 0.189

The symmetry is Amm2. As for the total magnetic moment: 0.00 Bohr magnetons per cell. As for the crystal system: orthorhombic. The total DFT energy (no corrections) is -4.576 eV per atom. Its formation energy from raw total energies is -144 meV/atom.

DFT (PBE) results for a relaxed CuTe2Rh crystal.

Unit cell a=3.611 b=3.294 c=6.942 alpha=90.00 beta=96.40 gamma=90.00
Fractional positions:
Cu1 0.000 0.000 0.000
Te1 0.372 0.500 0.262
Te2 0.628 0.500 0.738
Rh1 0.000 0.000 0.500

The symmetry is P2/m. As for the total magnetic moment: 0.00 Bohr magnetons per cell. As for the crystal system: monoclinic. The total DFT energy (no corrections) is -4.302 eV per atom. Its formation energy from raw total energies is 131 meV/atom.

DFT (PBE) results for a relaxed CuTeRh3 crystal.

Unit cell a=4.543 b=4.543 c=4.543 alpha=90.00 beta=90.00 gamma=90.00
Fractional positions:
Cu1 0.000 0.000 0.000
Te1 0.500 0.500 0.500
Rh1 0.000 0.000 0.500
Rh2 0.000 0.500 0.000
Rh3 0.500 0.000 0.000

The symmetry is Pm-3m. As for the total magnetic moment: 2.11 Bohr magnetons per cell. As for the crystal system: cubic. The total DFT energy (no corrections) is -4.926 eV per atom. The polymorph energy (0 for the lowest one) comes out at 0 meV per atom. Its formation energy from raw total energies is 932 meV/atom.

DFT (PBE) results for a relaxed CuTe4Rh crystal.

Unit cell a=6.148 b=6.148 c=6.148 alpha=60.00 beta=60.00 gamma=60.00
Fractional positions:
Cu1 0.000 0.000 0.000
Te1 0.375 0.375 0.375
Te2 0.375 0.375 0.875
Te3 0.375 0.875 0.375
Te4 0.875 0.375 0.375
Rh1 0.750 0.750 0.750

The symmetry is F-43m. As for the total magnetic moment: 0.00 Bohr magnetons per cell. As for the crystal system: cubic. The total DFT energy (no corrections) is -2.956 eV per atom. The polymorph energy (0 for the lowest one) comes out at 1280 meV per atom. Its formation energy from raw total energies is 1046 meV/atom.

DFT (PBE) results for a relaxed CuTe2Rh crystal.

Unit cell a=4.776 b=4.776 c=3.446 alpha=90.00 beta=90.00 gamma=98.05
Fractional positions:
Cu1 0.000 0.000 0.000
Te1 0.000 0.500 0.500
Te2 0.500 0.000 0.500
Rh1 0.500 0.500 0.000

The symmetry is Cmmm. As for the total magnetic moment: 0.00 Bohr magnetons per cell. As for the crystal system: orthorhombic. The total DFT energy (no corrections) is -4.246 eV per atom. Its formation energy from raw total energies is 187 meV/atom.

DFT (PBE) results for a relaxed ZnCuTe2Rh crystal.

Unit cell a=5.005 b=5.005 c=4.757 alpha=90.00 beta=90.00 gamma=90.00
Fractional positions:
Zn1 0.000 0.000 0.000
Cu1 0.500 0.500 0.500
Te1 0.000 0.500 0.500
Te2 0.500 0.000 0.500
Rh1 0.500 0.500 0.000

The symmetry is P4/mmm. As for the total magnetic moment: 0.00 Bohr magnetons per cell. As for the crystal system: tetragonal. The total DFT energy (no corrections) is -3.091 eV per atom. Its formation energy from raw total energies is 710 meV/atom.

DFT (PBE) results for a relaxed ThCuRh crystal.

Unit cell a=5.106 b=5.106 c=5.106 alpha=137.20 beta=137.20 gamma=62.13
Fractional positions:
Th1 0.000 0.000 0.000
Cu1 0.674 0.674 0.000
Rh1 0.350 0.350 0.000

The symmetry is I4mm. Its formation energy from the elements is -0.3745 eV/atom. As for the total magnetic moment: 0.00 Bohr magnetons per cell. As for the crystal system: tetragonal. The total DFT energy (no corrections) is -6.664 eV per atom. The polymorph energy (0 for the lowest one) comes out at 178 meV per atom.

DFT (PBE) results for a relaxed ThCu4Rh crystal.

Unit cell a=5.062 b=5.062 c=5.062 alpha=60.00 beta=60.00 gamma=60.00
Fractional positions:
Th1 0.000 0.000 0.000
Cu1 0.129 0.624 0.624
Cu2 0.624 0.129 0.624
Cu3 0.624 0.624 0.129
Cu4 0.624 0.624 0.624
Rh1 0.250 0.250 0.250

The symmetry is F-43m. Its formation energy from the elements is -0.2847 eV/atom. As for the total magnetic moment: 0.00 Bohr magnetons per cell. As for the crystal system: cubic. The total DFT energy (no corrections) is -5.477 eV per atom.

DFT (PBE) results for a relaxed ThCuRh crystal.

Unit cell a=4.357 b=4.357 c=3.704 alpha=90.00 beta=90.00 gamma=120.00
Fractional positions:
Th1 0.000 0.000 0.000
Cu1 0.667 0.333 0.500
Rh1 0.333 0.667 0.500

The symmetry is P-6m2. Its formation energy from the elements is -0.5052 eV/atom. As for the total magnetic moment: 0.00 Bohr magnetons per cell. As for the crystal system: hexagonal. The total DFT energy (no corrections) is -6.794 eV per atom. The polymorph energy (0 for the lowest one) comes out at 47 meV per atom.

DFT (PBE) results for a relaxed Th2CuRh crystal.

Unit cell a=9.151 b=9.151 c=9.151 alpha=25.43 beta=25.43 gamma=25.43
Fractional positions:
Th1 0.106 0.106 0.106
Th2 0.894 0.894 0.894
Cu1 0.000 0.000 0.000
Rh1 0.500 0.500 0.500

The symmetry is R-3m. Its formation energy from the elements is 0.1306 eV/atom. As for the total magnetic moment: 0.00 Bohr magnetons per cell. As for the crystal system: trigonal. The total DFT energy (no corrections) is -6.441 eV per atom.

DFT (PBE) results for a relaxed ThCuRh4 crystal.

Unit cell a=5.278 b=5.278 c=5.278 alpha=60.00 beta=60.00 gamma=60.00
Fractional positions:
Th1 0.000 0.000 0.000
Cu1 0.250 0.250 0.250
Rh1 0.127 0.624 0.624
Rh2 0.624 0.127 0.624
Rh3 0.624 0.624 0.127
Rh4 0.624 0.624 0.624

The symmetry is F-43m. Its formation energy from the elements is -0.3420 eV/atom. As for the total magnetic moment: 0.00 Bohr magnetons per cell. As for the crystal system: cubic. The total DFT energy (no corrections) is -7.162 eV per atom.

DFT (PBE) results for a relaxed Th2CuRh crystal.

Unit cell a=5.898 b=4.370 c=7.787 alpha=90.00 beta=110.19 gamma=90.00
Fractional positions:
Th1 0.220 0.250 0.427
Th2 0.227 0.250 0.938
Th3 0.773 0.750 0.062
Th4 0.780 0.750 0.573
Cu1 0.347 0.750 0.710
Cu2 0.653 0.250 0.290
Rh1 0.313 0.750 0.206
Rh2 0.687 0.250 0.794

The symmetry is P2_1/m. Its formation energy from the elements is -0.5191 eV/atom. As for the total magnetic moment: 0.00 Bohr magnetons per cell. As for the crystal system: monoclinic. The total DFT energy (no corrections) is -7.091 eV per atom.

DFT (PBE) results for a relaxed Th3CuRh crystal.

Unit cell a=8.282 b=3.936 c=8.382 alpha=90.00 beta=108.97 gamma=90.00
Fractional positions:
Th1 0.023 0.250 0.175
Th2 0.222 0.750 0.553
Th3 0.393 0.750 0.155
Th4 0.607 0.250 0.845
Th5 0.778 0.250 0.447
Th6 0.977 0.750 0.825
Cu1 0.248 0.250 0.856
Cu2 0.752 0.750 0.144
Rh1 0.382 0.250 0.400
Rh2 0.618 0.750 0.600

The symmetry is P2_1/m. Its formation energy from the elements is -0.3352 eV/atom. As for the total magnetic moment: 0.00 Bohr magnetons per cell. As for the crystal system: monoclinic. The total DFT energy (no corrections) is -7.077 eV per atom.

DFT (PBE) results for a relaxed Th2CuRh crystal.

Unit cell a=5.039 b=5.039 c=3.596 alpha=90.00 beta=90.00 gamma=90.00
Fractional positions:
Th1 0.000 0.500 0.000
Th2 0.500 0.000 0.000
Cu1 0.000 0.000 0.500
Rh1 0.500 0.500 0.500

The symmetry is P4/mmm. Its formation energy from the elements is -0.3976 eV/atom. As for the total magnetic moment: 0.00 Bohr magnetons per cell. As for the crystal system: tetragonal. The total DFT energy (no corrections) is -6.969 eV per atom.